Model 1:
Below is a geometry-optimized LaDyHoTh structure, with properties calculated at the PBE level.

Structure (POSCAR):
```
LaDyHoTh
1.0
3.6128 0.0000 0.0000
0.0000 3.6128 0.0000
0.0000 0.0000 10.0882
La Dy Ho Th
1 1 1 1
Direct
0.0000 0.0000 0.0000
0.5000 0.5000 0.7368
0.5000 0.5000 0.2620
0.0000 0.0000 0.4989
```

Properties
crystal system: tetragonal

Model 2:
Below is a geometry-optimized LaDyHoTh structure, with properties calculated at the PBE level.

Structure (POSCAR):
```
LaDyHoTh
1.0
0.0000 4.0429 4.0429
4.0429 0.0000 4.0429
4.0429 4.0429 0.0000
La Dy Ho Th
1 1 1 1
Direct
0.0000 0.0000 0.0000
0.2500 0.2500 0.2500
0.7500 0.7500 0.7500
0.5000 0.5000 0.5000
```

Properties
crystal system: cubic

It comes down to model 1, which is 0.105 eV/atom more stable than the next structure.

Model 1:
Below is a geometry-optimized LiDyHo2 structure, with properties calculated at the PBE level.

Structure (POSCAR):
```
LiDyHo2
1.0
3.5843 0.0000 0.0000
0.0000 3.5843 0.0000
0.0000 0.0000 8.7909
Li Dy Ho
1 1 2
Direct
0.0000 0.0000 0.0000
0.0000 0.0000 0.5000
0.5000 0.5000 0.2225
0.5000 0.5000 0.7775
```

Properties
crystal system: tetragonal

Model 2:
Below is a geometry-optimized LiDyHo2 structure, with properties calculated at the PBE level.

Structure (POSCAR):
```
LiDyHo2
1.0
1.7214 0.9939 12.0811
-1.7214 0.9939 12.0811
0.0000 -1.9877 12.0811
Li Dy Ho
1 1 2
Direct
0.0000 0.0000 0.0000
0.5000 0.5000 0.5000
0.0887 0.0887 0.0887
0.9113 0.9113 0.9113
```

Properties
crystal system: trigonal

It comes down to model 1, which is 0.112 eV/atom more stable than the next structure.

Model 1:
Below is a geometry-optimized LiDyHo2 structure, with properties calculated at the PBE level.

Structure (POSCAR):
```
LiDyHo2
1.0
5.5507 0.0000 0.0000
0.0000 5.5507 0.0000
0.0000 0.0000 3.7329
Li Dy Ho
1 1 2
Direct
0.0000 0.0000 0.0000
0.5000 0.5000 0.0000
0.0000 0.5000 0.5000
0.5000 0.0000 0.5000
```

Properties
crystal system: tetragonal

Model 2:
Below is a geometry-optimized LiDyHo2 structure, with properties calculated at the PBE level.

Structure (POSCAR):
```
LiDyHo2
1.0
1.7461 1.0081 11.1202
-1.7461 1.0081 11.1202
0.0000 -2.0163 11.1202
Li Dy Ho
1 1 2
Direct
0.0000 0.0000 0.0000
0.8334 0.8334 0.8334
0.4152 0.4152 0.4152
0.5850 0.5850 0.5850
```

Properties
crystal system: trigonal

Model 3:
Below is a geometry-optimized LiDyHo2 structure, with properties calculated at the PBE level.

Structure (POSCAR):
```
LiDyHo2
1.0
0.0000 3.8525 3.8525
3.8525 0.0000 3.8525
3.8525 3.8525 0.0000
Li Dy Ho
1 1 2
Direct
0.0000 0.0000 0.0000
0.5000 0.5000 0.5000
0.2500 0.2500 0.2500
0.7500 0.7500 0.7500
```

Properties
crystal system: cubic

It comes down to model 2, which is 0.062 eV/atom more stable than the next structure.

Model 1:
Below is a geometry-optimized LiDy2Ho structure, with properties calculated at the PBE level.

Structure (POSCAR):
```
LiDy2Ho
1.0
3.5907 0.0000 0.0000
0.0000 3.5907 0.0000
0.0000 0.0000 8.8103
Li Dy Ho
1 2 1
Direct
0.0000 0.0000 0.0000
0.5000 0.5000 0.2243
0.5000 0.5000 0.7757
0.0000 0.0000 0.5000
```

Properties
crystal system: tetragonal

Model 2:
Below is a geometry-optimized LiDy2Ho structure, with properties calculated at the PBE level.

Structure (POSCAR):
```
LiDy2Ho
1.0
5.5586 0.0000 0.0000
0.0000 5.5586 0.0000
0.0000 0.0000 3.7385
Li Dy Ho
1 2 1
Direct
0.0000 0.0000 0.0000
0.0000 0.5000 0.5000
0.5000 0.0000 0.5000
0.5000 0.5000 0.0000
```

Properties
crystal system: tetragonal

Model 3:
Below is a geometry-optimized LiDy2Ho structure, with properties calculated at the PBE level.

Structure (POSCAR):
```
LiDy2Ho
1.0
1.7427 1.0062 11.1757
-1.7427 1.0062 11.1757
0.0000 -2.0123 11.1757
Li Dy Ho
1 2 1
Direct
0.0000 0.0000 0.0000
0.2516 0.2516 0.2516
0.4154 0.4154 0.4154
0.8335 0.8335 0.8335
```

Properties
crystal system: trigonal

Model 4:
Below is a geometry-optimized LiDy2Ho structure, with properties calculated at the PBE level.

Structure (POSCAR):
```
LiDy2Ho
1.0
0.0000 3.8585 3.8585
3.8585 0.0000 3.8585
3.8585 3.8585 0.0000
Li Dy Ho
1 2 1
Direct
0.0000 0.0000 0.0000
0.2500 0.2500 0.2500
0.7500 0.7500 0.7500
0.5000 0.5000 0.5000
```

Properties
crystal system: cubic

It comes down to model 1, which is 0.018 eV/atom more stable than the next structure.

Model 1:
Below is a geometry-optimized DyHoLu structure, with properties calculated at the PBE level.

Structure (POSCAR):
```
DyHoLu
1.0
-1.7480 1.7480 7.4501
1.7480 -1.7480 7.4501
1.7480 1.7480 -7.4501
Dy Ho Lu
1 1 1
Direct
0.0000 0.0000 0.0000
0.6683 0.6683 0.0000
0.3338 0.3338 0.0000
```

Properties
crystal system: tetragonal

Model 2:
Below is a geometry-optimized DyHoLu structure, with properties calculated at the PBE level.

Structure (POSCAR):
```
DyHoLu
1.0
5.5328 0.0000 0.0000
-2.7664 4.7915 0.0000
0.0000 0.0000 3.4287
Dy Ho Lu
1 1 1
Direct
0.0000 0.0000 0.0000
0.3333 0.6667 0.5009
0.6667 0.3333 0.0021
```

Properties
crystal system: trigonal

It comes down to model 1, which is 0.055 eV/atom more stable than the next structure.

Model 1:
Below is a geometry-optimized Dy2Ho5Mg structure, with properties calculated at the PBE level.

Structure (POSCAR):
```
Dy2Ho5Mg
1.0
-3.4876 3.4876 4.9460
3.4876 -3.4876 4.9460
3.4876 3.4876 -4.9460
Dy Ho Mg
2 5 1
Direct
0.0000 0.5000 0.5000
0.5000 0.0000 0.5000
0.0000 0.0000 0.0000
0.0000 0.0000 0.5000
0.0000 0.5000 0.0000
0.5000 0.0000 0.0000
0.5000 0.5000 0.5000
0.5000 0.5000 0.0000
```

Properties
crystal system: tetragonal

Model 2:
Below is a geometry-optimized Dy2Ho5Mg structure, with properties calculated at the PBE level.

Structure (POSCAR):
```
Dy2Ho5Mg
1.0
3.5352 0.0000 0.0000
0.0276 8.5731 0.0000
1.7481 2.4551 16.0796
Dy Ho Mg
4 10 2
Direct
0.0186 0.3069 0.4594
0.2272 0.3214 0.0405
0.7728 0.6786 0.9595
0.9814 0.6931 0.5406
0.1762 0.6186 0.1542
0.2933 0.0310 0.9109
0.3737 0.7177 0.7571
0.4220 0.3718 0.6530
0.4479 0.0132 0.5932
0.5521 0.9868 0.4068
0.5780 0.6282 0.3470
0.6263 0.2823 0.2429
0.7067 0.9690 0.0891
0.8238 0.3814 0.8458
0.1272 0.9400 0.2518
0.8728 0.0600 0.7482
```

Properties
crystal system: triclinic

It comes down to model 1, which is 0.034 eV/atom more stable than the next structure.